An optimized crystal structure of Mn2AlB2Rh5. Source: Alexandria via LeMat-Bulk, functional PBE.

a b c (Å): 2.916 9.319 9.319
angles (deg): 90.00 90.00 90.00
Atoms (fractional coordinates):
Mn  0.000  0.677  0.177
Mn  0.000  0.323  0.823
Mn  0.000  0.177  0.323
Mn  0.000  0.823  0.677
Al  0.000  0.000  0.000
Al  0.000  0.500  0.500
B  0.000  0.127  0.627
B  0.000  0.873  0.373
B  0.000  0.627  0.873
B  0.000  0.373  0.127
Rh  0.500  0.214  0.070
Rh  0.500  0.786  0.930
Rh  0.500  0.070  0.786
Rh  0.500  0.714  0.430
Rh  0.500  0.930  0.214
Rh  0.500  0.286  0.570
Rh  0.500  0.570  0.714
Rh  0.500  0.430  0.286
Rh  0.500  0.500  0.000
Rh  0.500  0.000  0.500

Summary:
**Calculated formation energy**: -5.02 eV/f.u.
**Total DFT energy (no corrections)**: -7.721 eV/atom
**Density of states at the Fermi level**: 3.924 states/eV/f.u.

---

An optimized crystal structure of Sc2Mn5AlB2. Source: Alexandria via LeMat-Bulk, functional PBE.

a b c (Å): 3.059 9.021 9.021
angles (deg): 90.00 90.00 90.00
Atoms (fractional coordinates):
Sc  0.000  0.673  0.173
Sc  0.000  0.327  0.827
Sc  0.000  0.173  0.327
Sc  0.000  0.827  0.673
Mn  0.500  0.223  0.070
Mn  0.500  0.777  0.930
Mn  0.500  0.070  0.777
Mn  0.500  0.723  0.430
Mn  0.500  0.930  0.223
Mn  0.500  0.277  0.570
Mn  0.500  0.570  0.723
Mn  0.500  0.430  0.277
Mn  0.500  0.500  0.000
Mn  0.500  0.000  0.500
Al  0.000  0.000  0.000
Al  0.000  0.500  0.500
B  0.000  0.119  0.619
B  0.000  0.881  0.381
B  0.000  0.619  0.881
B  0.000  0.381  0.119

Summary:
**Calculated formation energy**: -3.15 eV/f.u.
**Total DFT energy (no corrections)**: -7.876 eV/atom
**Density of states at the Fermi level**: 8.752 states/eV/f.u.

---

An optimized crystal structure of SrMnAl2B. Source: Alexandria via LeMat-Bulk, functional PBE.

a b c (Å): 5.835 5.457 5.835
angles (deg): 90.00 90.00 90.00
Atoms (fractional coordinates):
Sr  0.000  0.000  0.000
B  0.500  0.500  0.500
Mn  0.000  0.500  0.000
Al  0.000  0.000  0.500
Al  0.500  0.000  0.000

Summary:
**Calculated formation energy**: 12.48 eV/f.u.
**Total DFT energy (no corrections)**: -2.507 eV/atom
**Density of states at the Fermi level**: 7.210 states/eV/f.u.

---

An optimized crystal structure of Al3BMo. Source: Alexandria via LeMat-Bulk, functional PBE.

a b c (Å): 4.836 4.836 4.836
angles (deg): 90.00 90.00 90.00
Atoms (fractional coordinates):
Mo  0.000  0.000  0.000
B  0.500  0.500  0.500
Al  0.000  0.500  0.000
Al  0.000  0.000  0.500
Al  0.500  0.000  0.000

Summary:
**Calculated formation energy**: 7.10 eV/f.u.
**Total DFT energy (no corrections)**: -4.328 eV/atom
**ΔE to the lowest computed polymorph**: 848.6 meV/atom
**Density of states at the Fermi level**: 3.045 states/eV/f.u.

---

An optimized crystal structure of AlB4Mo6. Source: Alexandria via LeMat-Bulk, functional PBE.

a b c (Å): 5.762 5.762 5.762
angles (deg): 89.24 120.44 120.44
Atoms (fractional coordinates):
Al  0.000  0.000  0.000
B  0.000  0.308  0.573
B  0.734  0.427  0.427
B  0.000  0.573  0.308
B  0.266  0.692  0.692
Mo  0.000  0.921  0.537
Mo  0.000  0.537  0.921
Mo  0.616  0.079  0.079
Mo  0.500  0.000  0.500
Mo  0.384  0.463  0.463
Mo  0.500  0.500  0.000

Summary:
**Calculated formation energy**: -2.06 eV/f.u.
**Total DFT energy (no corrections)**: -8.864 eV/atom
**Density of states at the Fermi level**: 8.051 states/eV/f.u.

---

An optimized crystal structure of AlB4Mo. Source: Alexandria via LeMat-Bulk, functional PBE.

a b c (Å): 2.985 4.516 4.516
angles (deg): 69.86 70.44 70.44
Atoms (fractional coordinates):
Al  0.500  0.500  0.500
B  0.755  0.581  0.908
B  0.755  0.908  0.581
B  0.244  0.419  0.092
B  0.244  0.092  0.419
Mo  0.000  0.000  0.000

Summary:
**Calculated formation energy**: -1.22 eV/f.u.
**Total DFT energy (no corrections)**: -7.084 eV/atom
**Density of states at the Fermi level**: 2.737 states/eV/f.u.

---

An optimized crystal structure of AlBMo3. Source: Alexandria via LeMat-Bulk, functional PBE.

a b c (Å): 4.201 4.201 4.201
angles (deg): 90.00 90.00 90.00
Atoms (fractional coordinates):
Mo  0.000  0.500  0.000
Mo  0.000  0.000  0.500
Mo  0.500  0.000  0.000
B  0.000  0.000  0.000
Al  0.500  0.500  0.500

Summary:
**Calculated formation energy**: 0.62 eV/f.u.
**Total DFT energy (no corrections)**: -8.459 eV/atom
**ΔE to the lowest computed polymorph**: 0.0 meV/atom
**Density of states at the Fermi level**: 3.621 states/eV/f.u.

---

An optimized crystal structure of Al3BMo. Source: Alexandria via LeMat-Bulk, functional PBE.

a b c (Å): 4.149 4.149 4.149
angles (deg): 90.00 90.00 90.00
Atoms (fractional coordinates):
Mo  0.500  0.500  0.500
B  0.000  0.000  0.000
Al  0.000  0.500  0.000
Al  0.000  0.000  0.500
Al  0.500  0.000  0.000

Summary:
**Calculated formation energy**: 2.85 eV/f.u.
**Total DFT energy (no corrections)**: -5.177 eV/atom
**ΔE to the lowest computed polymorph**: 0.0 meV/atom
**Density of states at the Fermi level**: 5.626 states/eV/f.u.